SrHgS2: relaxed, PBE.

Results
VASP energy = -29.78 eV for the cell shown

```
SrHgS2
1.0
6.8044 0.0000 0.0000
0.0000 7.5929 0.0000
0.0000 0.0000 4.4565
Sr Hg S
2 2 4
Cartesian
0.0000 0.0000 0.0000
3.4022 3.7964 2.2283
0.0000 3.7964 0.0000
3.4022 0.0000 2.2283
1.5108 1.4171 2.2283
4.9130 2.3794 0.0000
5.2936 6.1758 2.2283
1.8914 5.2135 0.0000
```